The following is a PBE calculation of a relaxed structure of KSrZrBiO6, from Alexandria.

Computed properties:
The uncorrected formation energy comes out at -2.1623 eV per atom. Its symmetry is F-43m (216).

a = 5.9566 Å, b = 5.9566 Å, c = 5.9566 Å
α = 60.00°, β = 60.00°, γ = 60.00°
Closest atoms and distances in Å follow each position.
Atoms (fractional coordinates):
K (0.7500, 0.7500, 0.7500)  12 O 2.98
Sr (0.2500, 0.2500, 0.2500)  12 O 2.98
Zr (0.5000, 0.5000, 0.5000)  6 O 2.10
Bi (0.0000, 0.0000, 0.0000)  6 O 2.12
O (0.2511, 0.7489, 0.2511)  1 Zr 2.10, 1 Bi 2.12
O (0.7489, 0.2511, 0.7489)  1 Zr 2.10, 1 Bi 2.12
O (0.2511, 0.7489, 0.7489)  1 Zr 2.10, 1 Bi 2.12
O (0.7489, 0.2511, 0.2511)  1 Zr 2.10, 1 Bi 2.12
O (0.2511, 0.2511, 0.7489)  1 Zr 2.10, 1 Bi 2.12
O (0.7489, 0.7489, 0.2511)  1 Zr 2.10, 1 Bi 2.12

The following is a PBE calculation of a relaxed structure of K4Ta3BiO12, from Alexandria.

Computed properties:
The uncorrected formation energy comes out at -2.2543 eV per atom. The density of states at the Fermi level comes out at 0.9 states/eV/cell. Its symmetry is Im-3m (229).

a = 7.0621 Å, b = 7.0621 Å, c = 7.0621 Å
α = 109.47°, β = 109.47°, γ = 109.47°
Closest atoms and distances in Å follow each position.
Atoms (fractional coordinates):
K (0.5000, 0.5000, 0.5000)  12 O 2.88
K (0.0000, 0.0000, 0.5000)  12 O 2.88
K (0.5000, 0.0000, 0.0000)  12 O 2.88
K (0.0000, 0.5000, 0.0000)  12 O 2.88
Ta (0.5000, 0.0000, 0.5000)  6 O 1.97-2.04
Ta (0.5000, 0.5000, 0.0000)  6 O 1.97-2.04
Ta (0.0000, 0.5000, 0.5000)  6 O 1.97-2.04
Bi (0.0000, 0.0000, 0.0000)  6 O 2.11
O (0.2500, 0.5000, 0.7500)  2 Ta 2.04
O (0.7417, 0.0000, 0.7417)  1 Ta 1.97, 1 Bi 2.11
O (0.2583, 0.0000, 0.2583)  1 Ta 1.97, 1 Bi 2.11
O (0.7500, 0.5000, 0.2500)  2 Ta 2.04
O (0.7417, 0.7417, 0.0000)  1 Ta 1.97, 1 Bi 2.11
O (0.2583, 0.2583, 0.0000)  1 Ta 1.97, 1 Bi 2.11
O (0.7500, 0.2500, 0.5000)  2 Ta 2.04
O (0.2500, 0.7500, 0.5000)  2 Ta 2.04
O (0.5000, 0.2500, 0.7500)  2 Ta 2.04
O (0.0000, 0.7417, 0.7417)  1 Ta 1.97, 1 Bi 2.11
O (0.5000, 0.7500, 0.2500)  2 Ta 2.04
O (0.0000, 0.2583, 0.2583)  1 Ta 1.97, 1 Bi 2.11

The following is a PBE calculation of a relaxed structure of KTaBi2O6, from Alexandria.

Computed properties:
The uncorrected formation energy comes out at -1.8435 eV per atom. The density of states at the Fermi level comes out at 0.0 states/eV/cell. Its symmetry is C2/c (15).

a = 6.4141 Å, b = 7.4310 Å, c = 7.4310 Å
α = 87.68°, β = 88.47°, γ = 88.47°
Closest atoms and distances in Å follow each position.
Atoms (fractional coordinates):
K (0.2500, 0.9208, 0.0792)  4 O 2.67-2.77
K (0.7500, 0.0792, 0.9208)  4 O 2.67-2.77
Ta (0.2500, 0.2738, 0.7262)  4 O 1.92-1.97
Ta (0.7500, 0.7262, 0.2738)  4 O 1.92-1.97
Bi (0.1699, 0.7774, 0.5482)  4 O 2.15-2.39
Bi (0.3301, 0.4518, 0.2226)  4 O 2.15-2.39
Bi (0.8301, 0.2226, 0.4518)  4 O 2.15-2.39
Bi (0.6699, 0.5482, 0.7774)  4 O 2.15-2.39
O (0.1879, 0.0229, 0.7351)  1 Ta 1.92
O (0.3121, 0.2649, 0.9771)  1 Ta 1.92
O (0.8121, 0.9771, 0.2649)  1 Ta 1.92
O (0.6879, 0.7351, 0.0229)  1 Ta 1.92
O (0.4541, 0.7285, 0.3525)  1 Ta 1.97
O (0.0459, 0.6475, 0.2715)  1 Ta 1.97
O (0.5459, 0.2715, 0.6475)  1 Ta 1.97
O (0.9541, 0.3525, 0.7285)  1 Ta 1.97
O (0.8047, 0.7223, 0.5701)  2 Bi 2.15-2.39, 1 Ta 2.24
O (0.6953, 0.4299, 0.2777)  2 Bi 2.15-2.39, 1 Ta 2.24
O (0.1953, 0.2777, 0.4299)  2 Bi 2.15-2.39, 1 Ta 2.24
O (0.3047, 0.5701, 0.7223)  2 Bi 2.15-2.39, 1 Ta 2.24

Values for magnetization, μB per cell, ordered as above
0.000 0.000 0.000